# 1
{
  "formula": "NdEr2Te4",
  "functional": "GGA-PBE",
  "state": "relaxed",
  "lattice": [[8.3079, -2.1812, 0.0000], [8.3079, 2.1812, 0.0000], [-3.3779, 0.0000, 6.7482]],
  "species": ["Nd", "Er", "Er", "Te", "Te", "Te", "Te"],
  "fractional_positions": [[0.0000, 0.0000, 0.0000], [0.2544, 0.2544, 0.2676], [0.7456, 0.7456, 0.7323], [0.1268, 0.1268, 0.4624], [0.3652, 0.3652, 0.0288], [0.6348, 0.6348, 0.9712], [0.8732, 0.8732, 0.5376]],
  "magnetic_moment_mub_per_cell": 0.000,
  "dos_ef_per_ev_cell": 2.9,
  "raw_formation_energy_ev_per_fu": -9.67,
  "polymorph_energy_mev_per_atom": 0,
  "density_g_cm3": 6.716
}

***

# 2
{
  "formula": "CePmGdEr",
  "functional": "GGA-PBE",
  "state": "relaxed",
  "lattice": [[0.0000, 4.0277, 4.0277], [4.0277, 0.0000, 4.0277], [4.0277, 4.0277, 0.0000]],
  "species": ["Ce", "Pm", "Gd", "Er"],
  "fractional_positions": [[0.0000, 0.0000, 0.0000], [0.2500, 0.2500, 0.2500], [0.7500, 0.7500, 0.7500], [0.5000, 0.5000, 0.5000]],
  "magnetic_moment_mub_per_cell": 10.397,
  "dos_ef_per_ev_cell": 9.5,
  "density_g_cm3": 7.747,
  "formation_enthalpy_0k_ev_per_atom": 0.171
}

***

# 3
{
  "formula": "Ac3BBr3",
  "functional": "GGA-PBE",
  "state": "relaxed",
  "lattice": [[-6.2295, 6.2295, 6.2295], [6.2295, -6.2295, 6.2295], [6.2295, 6.2295, -6.2295]],
  "species": ["Ac", "Ac", "Ac", "Ac", "Ac", "Ac", "Ac", "Ac", "Ac", "Ac", "Ac", "Ac", "B", "B", "B", "B", "Br", "Br", "Br", "Br", "Br", "Br", "Br", "Br", "Br", "Br", "Br", "Br"],
  "fractional_positions": [[0.0168, 0.0336, 0.2668], [0.0168, 0.4832, 0.7500], [0.0336, 0.2668, 0.0168], [0.2332, 0.2668, 0.7500], [0.2332, 0.4664, 0.4832], [0.2668, 0.0168, 0.0336], [0.2668, 0.7500, 0.2332], [0.4664, 0.4832, 0.2332], [0.4832, 0.2332, 0.4664], [0.4832, 0.7500, 0.0168], [0.7500, 0.0168, 0.4832], [0.7500, 0.2332, 0.2668], [0.0000, 0.2500, 0.5000], [0.2500, 0.2500, 0.2500], [0.2500, 0.5000, 0.0000], [0.5000, 0.0000, 0.2500], [0.2500, 0.7568, 0.7432], [0.2500, 0.9932, 0.5068], [0.5068, 0.2500, 0.9932], [0.5068, 0.7568, 0.5136], [0.5136, 0.5068, 0.7568], [0.7432, 0.2500, 0.7568], [0.7432, 0.9932, 0.9864], [0.7568, 0.5136, 0.5068], [0.7568, 0.7432, 0.2500], [0.9864, 0.7432, 0.9932], [0.9932, 0.5068, 0.2500], [0.9932, 0.9864, 0.7432]],
  "magnetic_moment_mub_per_cell": 0.000,
  "dos_ef_per_ev_cell": 13.9,
  "raw_formation_energy_ev_per_fu": -8.27,
  "density_g_cm3": 6.398
}

***

# 4
{
  "formula": "Rb4CdAu",
  "functional": "GGA-PBE",
  "state": "relaxed",
  "lattice": [[-4.4202, 4.4202, 8.1626], [4.4202, -4.4202, 8.1626], [4.4202, 4.4202, -8.1626]],
  "species": ["Rb", "Rb", "Rb", "Rb", "Rb", "Rb", "Rb", "Rb", "Cd", "Cd", "Au", "Au"],
  "fractional_positions": [[0.0527, 0.5527, 0.8741], [0.1786, 0.0527, 0.5000], [0.3214, 0.8214, 0.8741], [0.4473, 0.3214, 0.5000], [0.5527, 0.6786, 0.5000], [0.6786, 0.1786, 0.1259], [0.8214, 0.9473, 0.5000], [0.9473, 0.4473, 0.1259], [0.0000, 0.0000, 0.0000], [0.5000, 0.5000, 0.0000], [0.2500, 0.2500, 0.0000], [0.7500, 0.7500, 0.0000]],
  "magnetic_moment_mub_per_cell": 0.000,
  "dos_ef_per_ev_cell": 8.7,
  "polymorph_energy_mev_per_atom": 26,
  "density_g_cm3": 3.390,
  "formation_enthalpy_0k_ev_per_atom": -0.070
}

***

# 5
{
  "formula": "MoI",
  "functional": "GGA-PBE",
  "state": "relaxed",
  "lattice": [[4.1072, 0.0000, 0.0000], [0.0000, 9.7575, 0.0000], [0.0000, 0.0000, 10.7789]],
  "species": ["Mo", "Mo", "Mo", "Mo", "Mo", "Mo", "Mo", "Mo", "I", "I", "I", "I", "I", "I", "I", "I"],
  "fractional_positions": [[0.0049, 0.1965, 0.1625], [0.0640, 0.1767, 0.9315], [0.4360, 0.8233, 0.4315], [0.4951, 0.8035, 0.6625], [0.5049, 0.3035, 0.8375], [0.5640, 0.3233, 0.0685], [0.9360, 0.6767, 0.5685], [0.9951, 0.6965, 0.3375], [0.2359, 0.0942, 0.4254], [0.2438, 0.5829, 0.7967], [0.2562, 0.4171, 0.2967], [0.2641, 0.9058, 0.9254], [0.7359, 0.4058, 0.5746], [0.7438, 0.9171, 0.2033], [0.7562, 0.0829, 0.7033], [0.7641, 0.5942, 0.0746]],
  "magnetic_moment_mub_per_cell": 0.000,
  "raw_formation_energy_ev_per_fu": 0.73,
  "polymorph_energy_mev_per_atom": 114,
  "density_g_cm3": 6.853
}

***

# 6
{
  "formula": "Pm3PrTl3",
  "functional": "GGA-PBE",
  "state": "relaxed",
  "lattice": [[9.7332, 0.0000, 0.0000], [-4.8666, 8.4292, 0.0000], [0.0000, 0.0000, 5.3105]],
  "species": ["Pm", "Pm", "Pm", "Pm", "Pm", "Pm", "Pr", "Pr", "Tl", "Tl", "Tl", "Tl", "Tl", "Tl"],
  "fractional_positions": [[0.0026, 0.2397, 0.2500], [0.2371, 0.9974, 0.2500], [0.2397, 0.2371, 0.7500], [0.7603, 0.7629, 0.2500], [0.7629, 0.0026, 0.7500], [0.9974, 0.7603, 0.7500], [0.3333, 0.6667, 0.7500], [0.6667, 0.3333, 0.2500], [0.0685, 0.6191, 0.2500], [0.3809, 0.4494, 0.2500], [0.4494, 0.0685, 0.7500], [0.5506, 0.9315, 0.2500], [0.6191, 0.5506, 0.7500], [0.9315, 0.3809, 0.7500]],
  "magnetic_moment_mub_per_cell": 0.000,
  "dos_ef_per_ev_cell": 12.5,
  "polymorph_energy_mev_per_atom": 25,
  "density_g_cm3": 9.064,
  "formation_enthalpy_0k_ev_per_atom": -0.261
}